1.
# CaFe2Os

A relaxed CaFe2Os crystal (PBE, the Alexandria database).

```
data_CaFe2Os
_cell_length_a 2.7923
_cell_length_b 2.7923
_cell_length_c 27.6338
_cell_angle_alpha 90.00
_cell_angle_beta 90.00
_cell_angle_gamma 120.00
_space_group_name_H-M_alt 'R -3 m'
_space_group_IT_number 166
_space_group_name_Hall '-R 3 2"'
loop_
_atom_site_label
_atom_site_type_symbol
_atom_site_fract_x
_atom_site_fract_y
_atom_site_fract_z
Ca1 Ca 0.0000 0.0000 0.0000
Fe1 Fe 0.0000 0.0000 0.2414
Os1 Os 0.0000 0.0000 0.5000
```

## Properties
Energy above the most stable polymorph in this dataset = 1.512 eV/f.u.
Calculated formation energy = 0.696 eV/atom


2.
# SrMgNO2

A relaxed SrMgNO2 crystal (PBE, the Alexandria database).

```
data_SrMgNO2
_cell_length_a 4.591
_cell_length_b 4.591
_cell_length_c 4.718
_cell_angle_alpha 90.00
_cell_angle_beta 90.00
_cell_angle_gamma 90.00
_space_group_name_H-M_alt 'P 4/m m m'
_space_group_IT_number 123
_space_group_name_Hall '-P 4 2'
loop_
_atom_site_label
_atom_site_type_symbol
_atom_site_fract_x
_atom_site_fract_y
_atom_site_fract_z
Sr1 Sr 0.000 0.000 0.000
Mg1 Mg 0.500 0.500 0.500
N1 N 0.000 0.000 0.500
O1 O 0.000 0.500 0.000
```

## Properties
E_form (uncorrected) = 1.15 eV/f.u.


3.
# CdHRh2

A relaxed CdHRh2 crystal (PBE, the Alexandria database).

```
data_CdHRh2
_cell_length_a 6.092
_cell_length_b 6.092
_cell_length_c 6.092
_cell_angle_alpha 90.00
_cell_angle_beta 90.00
_cell_angle_gamma 90.00
_space_group_name_H-M_alt 'F m -3 m'
_space_group_IT_number 225
_space_group_name_Hall '-F 4 2 3'
loop_
_atom_site_label
_atom_site_type_symbol
_atom_site_fract_x
_atom_site_fract_y
_atom_site_fract_z
Cd1 Cd 0.000 0.000 0.000
H1 H 0.000 0.000 0.500
Rh1 Rh 0.250 0.250 0.250
```

## Properties
Energy above the most stable polymorph in this dataset = 2.719 eV/f.u.


4.
# Rb3MoCl6

A relaxed Rb3MoCl6 crystal (PBE, the Alexandria database).

```
data_Rb3MoCl6
_cell_length_a 11.097
_cell_length_b 11.097
_cell_length_c 11.097
_cell_angle_alpha 90.00
_cell_angle_beta 90.00
_cell_angle_gamma 90.00
_space_group_name_H-M_alt 'F m -3 m'
_space_group_IT_number 225
_space_group_name_Hall '-F 4 2 3'
loop_
_atom_site_label
_atom_site_type_symbol
_atom_site_fract_x
_atom_site_fract_y
_atom_site_fract_z
Rb1 Rb 0.000 0.000 0.000
Rb2 Rb 0.250 0.250 0.250
Mo1 Mo 0.000 0.000 0.500
Cl1 Cl 0.000 0.000 0.279
```

## Properties
E_form (uncorrected) = -15.12 eV/f.u.
Energy above the most stable polymorph in this dataset = 0.333 eV/f.u.


5.
# SrAcNi2

A relaxed SrAcNi2 crystal (PBE, the Alexandria database).

```
data_SrAcNi2
_cell_length_a 3.682
_cell_length_b 3.682
_cell_length_c 7.298
_cell_angle_alpha 90.00
_cell_angle_beta 90.00
_cell_angle_gamma 90.00
_space_group_name_H-M_alt 'P 4/m m m'
_space_group_IT_number 123
_space_group_name_Hall '-P 4 2'
loop_
_atom_site_label
_atom_site_type_symbol
_atom_site_fract_x
_atom_site_fract_y
_atom_site_fract_z
Sr1 Sr 0.000 0.000 0.000
Ac1 Ac 0.000 0.000 0.500
Ni1 Ni 0.500 0.500 0.290
```

## Properties
Calculated formation energy = -0.035 eV/atom


6.
# K3Tb2DySe6

A relaxed K3Tb2DySe6 crystal (PBE, the Alexandria database).

```
data_K3Tb2DySe6
_cell_length_a 7.317
_cell_length_b 12.674
_cell_length_c 8.062
_cell_angle_alpha 90.00
_cell_angle_beta 107.61
_cell_angle_gamma 90.00
_space_group_name_H-M_alt 'C 1 2/m 1'
_space_group_IT_number 12
loop_
_space_group_symop_operation_xyz
'x,y,z'
'-x,-y,-z'
'-x,y,-z'
'x,-y,z'
'x+1/2,y+1/2,z'
'-x+1/2,-y+1/2,-z'
'-x+1/2,y+1/2,-z'
'x+1/2,-y+1/2,z'
loop_
_atom_site_label
_atom_site_type_symbol
_atom_site_fract_x
_atom_site_fract_y
_atom_site_fract_z
K1 K 0.000 0.000 0.000
K2 K 0.000 0.333 0.000
Tb1 Tb 0.000 0.167 0.500
Dy1 Dy 0.000 0.500 0.500
Se1 Se 0.235 0.334 0.706
Se2 Se 0.236 0.000 0.706
```

## Properties
E_form (uncorrected) = -21.20 eV/f.u.


7.
# La3SeN

A relaxed La3SeN crystal (PBE, the Alexandria database).

```
data_La3SeN
_cell_length_a 4.999
_cell_length_b 4.999
_cell_length_c 4.999
_cell_angle_alpha 90.00
_cell_angle_beta 90.00
_cell_angle_gamma 90.00
_space_group_name_H-M_alt 'P m -3 m'
_space_group_IT_number 221
_space_group_name_Hall '-P 4 2 3'
loop_
_atom_site_label
_atom_site_type_symbol
_atom_site_fract_x
_atom_site_fract_y
_atom_site_fract_z
La1 La 0.000 0.000 0.500
Se1 Se 0.500 0.500 0.500
N1 N 0.000 0.000 0.000
```

## Properties
E_form (uncorrected) = -5.06 eV/f.u.
Energy above the most stable polymorph in this dataset = 1.150 eV/f.u.


8.
# BaLi2NdSn2

A relaxed BaLi2NdSn2 crystal (PBE, the Alexandria database).

```
data_BaLi2NdSn2
_cell_length_a 4.9420
_cell_length_b 4.9420
_cell_length_c 8.3256
_cell_angle_alpha 90.00
_cell_angle_beta 90.00
_cell_angle_gamma 120.00
_space_group_name_H-M_alt 'P -3 m 1'
_space_group_IT_number 164
_space_group_name_Hall '-P 3 2"'
loop_
_atom_site_label
_atom_site_type_symbol
_atom_site_fract_x
_atom_site_fract_y
_atom_site_fract_z
Ba1 Ba 0.0000 0.0000 0.0000
Li1 Li 0.3333 0.6667 0.6833
Nd1 Nd 0.0000 0.0000 0.5000
Sn1 Sn 0.3333 0.6667 0.2964
```

## Properties
Calculated formation energy = -0.600 eV/atom


Number 1: E_tot -6.84 eV/atom. Number 2: E_tot -4.07 eV/atom. Number 3: E_tot -4.06 eV/atom. Number 4: E_tot -3.99 eV/atom. Number 5: E_tot -4.37 eV/atom. Number 6: E_tot -4.94 eV/atom. Number 7: E_tot -6.33 eV/atom. Number 8: E_tot -3.69 eV/atom.